This record from Alexandria describes crystalline DyCdAgAu at its relaxed geometry. The functional is GGA-PBE.

Summary:
* calculated density: 11.33 g cm⁻³
* energy: -0.249 Ry/atom
* crystal system: cubic
* DFT formation energy: -479 meV per atom
* DOS(E_F): 0.86 states/eV/atom

a b c (Å): 6.9785 6.9785 6.9785
angles (deg): 90.00 90.00 90.00
Space group F-43m (No. 216)
Unique sites:
Dy1 0.0000 0.0000 0.0000 (multiplicity 4)
Cd1 0.0000 0.0000 0.5000 (multiplicity 4)
Ag1 0.2500 0.2500 0.7500 (multiplicity 4)
Au1 0.2500 0.2500 0.2500 (multiplicity 4)